(1)
! PBE-GGA La5Pm4Th2, relaxed; values from VASP
&SYSTEM
  ibrav = 0, nat = 11, ntyp = 3
/
ATOMIC_SPECIES
La 138.91 La.upf
Pm 145.00 Pm.upf
Th 232.04 Th.upf
CELL_PARAMETERS angstrom
3.544 0.000 0.000
0.000 9.116 0.183
0.000 0.588 12.040
ATOMIC_POSITIONS angstrom
La 0.000 3.945 3.520
La 0.000 7.440 2.240
La 0.000 4.558 0.092
La 0.000 2.265 9.984
La 0.000 5.759 8.704
Pm 1.772 3.055 6.662
Pm 1.772 8.247 10.957
Pm 1.772 6.649 5.562
Pm 1.772 1.457 1.267
Th 0.000 9.044 7.768
Th 0.000 0.660 4.456
! D(E_F)   19.6 states/eV per cell
! E   -5.205 eV/atom
! ΔE_f   111 meV per atom
! Magnetic moment   0.000 μB/f.u.
! Space-group type   P2/m (10)


(2)
! PBE-GGA Sr6CdAg5, relaxed; values from VASP
&SYSTEM
  ibrav = 0, nat = 12, ntyp = 3
/
ATOMIC_SPECIES
Sr 87.62 Sr.upf
Ag 107.87 Ag.upf
Cd 112.41 Cd.upf
CELL_PARAMETERS angstrom
-2.100 0.831 -5.101
-7.317 0.173 3.042
1.697 7.872 3.635
ATOMIC_POSITIONS angstrom
Sr -6.108 6.040 0.447
Sr -2.455 5.953 -1.071
Sr -1.216 8.331 1.859
Sr -6.506 0.544 -0.283
Sr -5.267 2.921 2.648
Sr -1.613 2.835 1.129
Ag -4.491 3.272 -0.662
Ag -6.882 5.771 3.771
Ag -3.659 0.086 1.521
Ag -0.839 3.104 -2.195
Ag -3.230 5.602 2.238
Cd 0.000 0.000 0.000
! D(E_F)   11.2 states/eV per cell
! E   -2.374 eV/atom
! ΔE_f   -269 meV per atom
! Magnetic moment   0.000 μB/f.u.
! Space-group type   P2/m (10)


For the records above, the corresponding ρ values read 7.43 5.28 g/cm³.